[1]
The following is a DFT calculation (PBE) of a relaxed structure of Cs2LiClF6.

Calculated values
- formation energy without anion corrections (meV per atom) = -1839.1
- magnetic moment (μB per atom) = 0.2000
- crystal system = tetragonal

a b c (Å): 6.3918 6.3918 8.7439
angles (deg): 90.00 90.00 90.00
Space group I4/mmm (No. 139)
Symmetry-distinct sites (fractional):
Cs 0.0000 0.5000 0.2500 (multiplicity 4)
Li 0.0000 0.0000 0.0000 (multiplicity 2)
Cl 0.0000 0.0000 0.5000 (multiplicity 2)
F 0.0000 0.0000 0.2952 (multiplicity 4)
F 0.2253 0.2253 0.0000 (multiplicity 8)

[2]
The following is a DFT calculation (PBE) of a relaxed structure of CsLi2Cl2F.

Calculated values
- formation energy without anion corrections (meV per atom) = -2216.3
- magnetic moment (μB per atom) = 0.0000
- crystal system = monoclinic

a b c (Å): 7.8335 5.3954 7.8597
angles (deg): 90.00 106.18 90.00
Space group P2_1/m (No. 11)
Symmetry-distinct sites (fractional):
Cs 0.1797 0.2500 0.3210 (multiplicity 2)
Li 0.3650 0.0001 0.8659 (multiplicity 4)
Cl 0.1146 0.2500 0.8446 (multiplicity 2)
Cl 0.3429 0.7500 0.6162 (multiplicity 2)
F 0.4591 0.7500 0.0410 (multiplicity 2)

[3]
The following is a DFT calculation (PBE) of a relaxed structure of CsLiCl2F8.

Calculated values
- formation energy without anion corrections (meV per atom) = -1417.7
- magnetic moment (μB per atom) = 0.0000
- crystal system = monoclinic

a b c (Å): 6.7304 6.2982 9.3826
angles (deg): 90.00 90.53 90.00
Space group C2/m (No. 12)
Symmetry-distinct sites (fractional):
Cs 0.0000 0.0000 0.0000 (multiplicity 2)
Li 0.0000 0.0000 0.5000 (multiplicity 2)
Cl 0.0619 0.5000 0.3005 (multiplicity 4)
F 0.0589 0.2089 0.3038 (multiplicity 8)
F 0.0831 0.5000 0.8667 (multiplicity 4)
F 0.2147 0.5000 0.4619 (multiplicity 4)

[4]
The following is a DFT calculation (PBE) of a relaxed structure of CsMgCl2F.

Calculated values
- formation energy without anion corrections (meV per atom) = -2313.6
- magnetic moment (μB per atom) = 0.0000
- crystal system = tetragonal

a b c (Å): 5.3933 5.3933 4.0246
angles (deg): 90.00 90.00 90.00
Space group P4/mmm (No. 123)
Symmetry-distinct sites (fractional):
Cs 0.0000 0.0000 0.0000 (multiplicity 1)
Mg 0.5000 0.5000 0.5000 (multiplicity 1)
Cl 0.0000 0.5000 0.5000 (multiplicity 2)
F 0.5000 0.5000 0.0000 (multiplicity 1)

no.,ρ (Mg/m³),energy (eV per cell)
1,3.9,-70.17
2,2.5,-47.09
3,3.0,-76.89
4,3.5,-19.58